# 1
CrAsP2S after structural relaxation. Source: Alexandria, functional GGA-PBEsol.

Cell lengths 4.5483, 4.5483, 4.1241 Å; angles 90.00, 90.00, 90.00 degrees
Closest atoms and distances in Å follow each position.
Fractional positions:
Cr  0.0000  0.0000  0.0000  2 S 2.06, 4 P 2.27
As  0.5000  0.5000  0.5000  8 P 3.07, 4 S 3.22
P  0.0000  0.5000  0.0000  2 Cr 2.27
P  0.5000  0.0000  0.0000  2 Cr 2.27
S  0.0000  0.0000  0.5000  2 Cr 2.06

Uncorrected formation energy: 0.47 eV per atom
M_tot: 0.5 μB/f.u.
Final energy: -5.796 eV/atom

***

# 2
Cr2AsRhPb after structural relaxation. Source: Alexandria, functional GGA-PBEsol.

Cell lengths 4.9963, 4.9963, 5.1529 Å; angles 90.00, 90.00, 90.00 degrees
Closest atoms and distances in Å follow each position.
Fractional positions:
Cr  0.0000  0.5000  0.0000  2 Pb 2.50
Cr  0.5000  0.0000  0.0000  2 Pb 2.50
As  0.0000  0.0000  0.5000  2 Pb 2.58
Rh  0.5000  0.5000  0.5000  4 As 3.53, 8 Cr 3.59
Pb  0.0000  0.0000  0.0000  4 Cr 2.50, 2 As 2.58

Formation energy: 2087 meV per atom
M_tot: 7.4 μB/f.u.
Final energy: -5.459 eV/atom

***

# 3
CrAs2PbSe after structural relaxation. Source: Alexandria, functional GGA-PBEsol.

Cell lengths 4.5361, 4.5361, 5.3948 Å; angles 90.00, 90.00, 90.00 degrees
Closest atoms and distances in Å follow each position.
Fractional positions:
Cr  0.0000  0.0000  0.0000  4 As 2.27
As  0.0000  0.5000  0.0000  2 Cr 2.27
As  0.5000  0.0000  0.0000  2 Cr 2.27
Pb  0.5000  0.5000  0.5000  4 Se 3.21, 8 As 3.52
Se  0.0000  0.0000  0.5000  2 Cr 2.70

Uncorrected formation energy: 0.16 eV per atom
M_tot: 1.3 μB/f.u.
Final energy: -5.500 eV/atom

***

# 4
CrAs3Pd after structural relaxation. Source: Alexandria, functional GGA-PBEsol.

Cell lengths 4.7914, 4.7914, 4.7914 Å; angles 90.00, 90.00, 90.00 degrees
Closest atoms and distances in Å follow each position.
Fractional positions:
Cr  0.0000  0.0000  0.0000  12 As 3.39
As  0.0000  0.5000  0.5000  2 Pd 2.40
As  0.5000  0.0000  0.5000  2 Pd 2.40
As  0.5000  0.5000  0.0000  2 Pd 2.40
Pd  0.5000  0.5000  0.5000  6 As 2.40

Formation energy: 836 meV per atom
M_tot: 3.5 μB/f.u.
Final energy: -5.468 eV/atom

***

# 5
CrAsPd after structural relaxation. Source: Alexandria, functional GGA-PBEsol.

Cell lengths 6.5921, 6.5921, 3.5789 Å; angles 90.00, 90.00, 120.00 degrees
Closest atoms and distances in Å follow each position.
Fractional positions:
Cr  0.0000  0.6058  0.0000  5 As 2.60-2.70, 2 Pd 2.85
Cr  0.3942  0.3942  0.0000  5 As 2.60-2.70, 2 Pd 2.85
Cr  0.6058  0.0000  0.0000  5 As 2.60-2.70, 2 Pd 2.85
As  0.0000  0.0000  0.0000  6 Pd 2.52, 3 Cr 2.60
As  0.3333  0.6667  0.5000  3 Pd 2.44, 6 Cr 2.70
As  0.6667  0.3333  0.5000  3 Pd 2.44, 6 Cr 2.70
Pd  0.0000  0.2686  0.5000  4 As 2.44-2.52
Pd  0.2686  0.0000  0.5000  4 As 2.44-2.52
Pd  0.7314  0.7314  0.5000  4 As 2.44-2.52

Formation energy: -181 meV per atom
M_tot: 3.2 μB/f.u.
Final energy: -7.283 eV/atom

***

# 6
Cr2AsPt after structural relaxation. Source: Alexandria, functional GGA-PBEsol.

Cell lengths 8.2795, 8.2795, 8.2795 Å; angles 18.96, 18.96, 18.96 degrees
Closest atoms and distances in Å follow each position.
Fractional positions:
Cr  0.2464  0.2464  0.2464  3 As 2.50, 3 Pt 2.64, 6 Cr 2.73
Cr  0.7536  0.7536  0.7536  3 As 2.50, 3 Pt 2.64, 6 Cr 2.73
As  0.5000  0.5000  0.5000  6 Cr 2.50, 6 As 2.73
Pt  0.0000  0.0000  0.0000  6 Cr 2.64, 6 Pt 2.73

Formation energy: 141 meV per atom
M_tot: 0.0 μB/f.u.
Final energy: -7.998 eV/atom

***

# 7
RbSrCrAs2 after structural relaxation. Source: Alexandria, functional GGA-PBEsol.

Cell lengths 5.6972, 5.6972, 5.7841 Å; angles 90.00, 90.00, 90.00 degrees
Closest atoms and distances in Å follow each position.
Fractional positions:
Rb  0.0000  0.0000  0.0000  4 Cr 4.03, 8 As 4.06
Sr  0.5000  0.5000  0.5000  4 As 2.85, 2 Cr 2.89
Cr  0.5000  0.5000  0.0000  2 Sr 2.89
As  0.0000  0.5000  0.5000  2 Sr 2.85
As  0.5000  0.0000  0.5000  2 Sr 2.85

Formation energy: 835 meV per atom
M_tot: 5.0 μB/f.u.
Final energy: -3.829 eV/atom

***

# 8
Cr2ReAs after structural relaxation. Source: Alexandria, functional GGA-PBEsol.

Cell lengths 2.7970, 3.7810, 4.8829 Å; angles 90.00, 90.00, 90.00 degrees
Closest atoms and distances in Å follow each position.
Fractional positions:
Cr  0.0000  0.0000  0.2362  2 Cr 2.31-2.58
Cr  0.0000  0.0000  0.7638  2 Cr 2.31-2.58
Re  0.5000  0.5000  0.5000  2 As 2.44, 8 Cr 2.68
As  0.5000  0.5000  0.0000  2 Re 2.44, 8 Cr 2.62

Formation energy: 150 meV per atom
M_tot: 0.0 μB/f.u.
Final energy: -9.581 eV/atom

***

# 9
CrReAs2 after structural relaxation. Source: Alexandria, functional GGA-PBEsol.

Cell lengths 4.3713, 4.3713, 4.3713 Å; angles 60.00, 60.00, 60.00 degrees
Closest atoms and distances in Å follow each position.
Fractional positions:
Cr  0.0000  0.0000  0.0000  4 As 2.68, 4 Re 2.68
Re  0.2500  0.2500  0.2500  4 Cr 2.68, 4 As 2.68
As  0.5000  0.5000  0.5000  4 As 2.68, 4 Re 2.68
As  0.7500  0.7500  0.7500  4 Cr 2.68, 4 As 2.68

ΔE to the lowest computed polymorph: 142 meV/atom
Formation energy: 559 meV per atom
M_tot: 2.2 μB/f.u.
Final energy: -7.887 eV/atom

***

# 10
Cr2ReAs after structural relaxation. Source: Alexandria, functional GGA-PBEsol.

Cell lengths 2.9743, 2.9743, 5.7730 Å; angles 90.00, 90.00, 90.00 degrees
Closest atoms and distances in Å follow each position.
Fractional positions:
Cr  0.0000  0.0000  0.2440  4 As 2.53, 4 Re 2.57, 1 Cr 2.82
Cr  0.0000  0.0000  0.7560  4 As 2.53, 4 Re 2.57, 1 Cr 2.82
Re  0.5000  0.5000  0.5000  8 Cr 2.57
As  0.5000  0.5000  0.0000  8 Cr 2.53

Formation energy: 104 meV per atom
M_tot: 0.0 μB/f.u.
Final energy: -9.627 eV/atom

***

# 11
CrReAs2 after structural relaxation. Source: Alexandria, functional GGA-PBEsol.

Cell lengths 4.6487, 4.6487, 4.6487 Å; angles 129.93, 129.93, 73.52 degrees
Closest atoms and distances in Å follow each position.
Fractional positions:
Cr  0.0000  0.0000  0.0000  4 Re 2.71, 8 As 2.71-2.78
Re  0.7500  0.2500  0.5000  8 As 2.71-2.78, 4 Cr 2.71
As  0.2500  0.7500  0.5000  4 As 2.71, 4 Cr 2.71, 4 Re 2.78
As  0.5000  0.5000  0.0000  4 Re 2.71, 4 As 2.71, 4 Cr 2.78

ΔE to the lowest computed polymorph: 0 meV/atom
Formation energy: 417 meV per atom
M_tot: 1.1 μB/f.u.
Final energy: -8.030 eV/atom

***

# 12
Cr2ReAs after structural relaxation. Source: Alexandria, functional GGA-PBEsol.

Cell lengths 8.1459, 8.1459, 8.1459 Å; angles 19.47, 19.47, 19.47 degrees
Closest atoms and distances in Å follow each position.
Fractional positions:
Cr  0.2481  0.2481  0.2481  3 As 2.52, 3 Re 2.59, 6 Cr 2.75
Cr  0.7519  0.7519  0.7519  3 As 2.52, 3 Re 2.59, 6 Cr 2.75
Re  0.0000  0.0000  0.0000  6 Cr 2.59, 6 Re 2.75
As  0.5000  0.5000  0.5000  6 Cr 2.52, 6 As 2.75

Formation energy: 236 meV per atom
M_tot: 0.0 μB/f.u.
Final energy: -9.494 eV/atom

***

# 13
CrReAs2W after structural relaxation. Source: Alexandria, functional GGA-PBEsol.

Cell lengths 4.3746, 4.3746, 4.5534 Å; angles 90.00, 90.00, 90.00 degrees
Closest atoms and distances in Å follow each position.
Fractional positions:
Cr  0.0000  0.0000  0.0000  4 As 2.19, 2 W 2.28
Re  0.5000  0.5000  0.5000  4 W 3.09, 8 As 3.16
As  0.0000  0.5000  0.0000  2 Cr 2.19
As  0.5000  0.0000  0.0000  2 Cr 2.19
W  0.0000  0.0000  0.5000  2 Cr 2.28

Formation energy: 1567 meV per atom
M_tot: 1.3 μB/f.u.
Final energy: -7.952 eV/atom

***

# 14
CrAsRh after structural relaxation. Source: Alexandria, functional GGA-PBEsol.

Cell lengths 6.3900, 6.3900, 3.6723 Å; angles 90.00, 90.00, 120.00 degrees
Closest atoms and distances in Å follow each position.
Fractional positions:
Cr  0.0000  0.4084  0.0000  5 As 2.61-2.67, 2 Rh 2.83
Cr  0.4084  0.0000  0.0000  5 As 2.61-2.67, 2 Rh 2.83
Cr  0.5916  0.5916  0.0000  5 As 2.61-2.67, 2 Rh 2.83
As  0.0000  0.0000  0.0000  6 Rh 2.46, 3 Cr 2.61
As  0.3333  0.6667  0.5000  3 Rh 2.42, 6 Cr 2.67
As  0.6667  0.3333  0.5000  3 Rh 2.42, 6 Cr 2.67
Rh  0.0000  0.7449  0.5000  4 As 2.42-2.46
Rh  0.2551  0.2551  0.5000  4 As 2.42-2.46
Rh  0.7449  0.0000  0.5000  4 As 2.42-2.46

Formation energy: -214 meV per atom
M_tot: 3.4 μB/f.u.
Final energy: -8.043 eV/atom

***

# 15
CrAs3Ru after structural relaxation. Source: Alexandria, functional GGA-PBEsol.

Cell lengths 4.7167, 4.7167, 4.7167 Å; angles 90.00, 90.00, 90.00 degrees
Closest atoms and distances in Å follow each position.
Fractional positions:
Cr  0.0000  0.0000  0.0000  12 As 3.34
As  0.0000  0.5000  0.5000  2 Ru 2.36
As  0.5000  0.0000  0.5000  2 Ru 2.36
As  0.5000  0.5000  0.0000  2 Ru 2.36
Ru  0.5000  0.5000  0.5000  6 As 2.36

Formation energy: 822 meV per atom
M_tot: 4.1 μB/f.u.
Final energy: -6.324 eV/atom

***

# 16
CrAsRu3 after structural relaxation. Source: Alexandria, functional GGA-PBEsol.

Cell lengths 4.3511, 4.3511, 4.3511 Å; angles 90.00, 90.00, 90.00 degrees
Closest atoms and distances in Å follow each position.
Fractional positions:
Cr  0.0000  0.0000  0.0000  6 Ru 2.18
As  0.5000  0.5000  0.5000  12 Ru 3.08
Ru  0.0000  0.0000  0.5000  2 Cr 2.18
Ru  0.0000  0.5000  0.0000  2 Cr 2.18
Ru  0.5000  0.0000  0.0000  2 Cr 2.18

Formation energy: 1346 meV per atom
M_tot: 0.0 μB/f.u.
Final energy: -7.827 eV/atom

***

# 17
CrAs2Ru after structural relaxation. Source: Alexandria, functional GGA-PBEsol.

Cell lengths 2.7382, 2.7382, 9.3121 Å; angles 90.00, 90.00, 115.77 degrees
Closest atoms and distances in Å follow each position.
Fractional positions:
Cr  0.0000  0.0000  0.0000  2 As 2.43, 2 Ru 2.50
As  0.0000  0.0000  0.5611  2 Ru 2.51, 4 As 2.74
As  0.5000  0.5000  0.2091  2 Cr 2.43
Ru  0.5000  0.5000  0.7811  2 Cr 2.50, 2 As 2.51, 4 Ru 2.74

ΔE to the lowest computed polymorph: 351 meV/atom
Formation energy: 296 meV per atom
M_tot: 0.9 μB/f.u.
Final energy: -7.361 eV/atom

***

# 18
CrAs2Ru after structural relaxation. Source: Alexandria, functional GGA-PBEsol.

Cell lengths 2.8302, 2.8302, 7.5704 Å; angles 90.00, 90.00, 90.00 degrees
Closest atoms and distances in Å follow each position.
Fractional positions:
Cr  0.0000  0.0000  0.0000  4 As 2.55, 4 Ru 2.58, 4 Cr 2.83
As  0.0000  0.0000  0.4271  4 Ru 2.57, 4 As 2.83
As  0.5000  0.5000  0.7921  4 Cr 2.55, 4 As 2.83
Ru  0.5000  0.5000  0.2143  4 As 2.57, 4 Cr 2.58, 4 Ru 2.83

ΔE to the lowest computed polymorph: 50 meV/atom
Formation energy: -5 meV per atom
M_tot: 0.0 μB/f.u.
Final energy: -7.662 eV/atom

***

# 19
CrAs2Ru after structural relaxation. Source: Alexandria, functional GGA-PBEsol.

Cell lengths 2.9684, 3.7067, 5.2111 Å; angles 90.00, 90.00, 90.00 degrees
Closest atoms and distances in Å follow each position.
Fractional positions:
Cr  0.0000  0.0000  0.0000  6 As 2.49-2.62
As  0.0000  0.0000  0.4973  4 Ru 2.51, 2 Cr 2.59-2.62
As  0.5000  0.5000  0.8579  4 Cr 2.49, 2 Ru 2.52-2.69
Ru  0.5000  0.5000  0.3423  6 As 2.51-2.69

ΔE to the lowest computed polymorph: 0 meV/atom
Formation energy: -55 meV per atom
M_tot: 2.1 μB/f.u.
Final energy: -7.712 eV/atom

***

# 20
Cr3AsS after structural relaxation. Source: Alexandria, functional GGA-PBEsol.

Cell lengths 4.7170, 4.7170, 4.7170 Å; angles 90.00, 90.00, 90.00 degrees
Closest atoms and distances in Å follow each position.
Fractional positions:
Cr  0.0000  0.0000  0.5000  2 As 2.36
Cr  0.0000  0.5000  0.0000  2 As 2.36
Cr  0.5000  0.0000  0.0000  2 As 2.36
As  0.0000  0.0000  0.0000  6 Cr 2.36
S  0.5000  0.5000  0.5000  12 Cr 3.34

Uncorrected formation energy: 0.94 eV per atom
M_tot: 12.8 μB/f.u.
Final energy: -7.104 eV/atom